1.
The following is a GGA-PBE calculation of a geometry-optimized TmNi5Ir structure, from Alexandria via LeMat-Bulk.

## Properties
Energy relative to the elements   -0.28 eV/atom

Cell and atoms, written as CIF:
```
data_TmNi5Ir
_chemical_formula_sum 'Tm4 Ni20 Ir4'
_space_group_name_H-M_alt 'P 1'
_space_group_IT_number 1
_cell_length_a 7.855
_cell_length_b 4.833
_cell_length_c 9.869
_cell_angle_alpha 90.00
_cell_angle_beta 90.00
_cell_angle_gamma 90.00
loop_
_space_group_symop_operation_xyz
'x,y,z'
loop_
_atom_site_label
_atom_site_fract_x
_atom_site_fract_y
_atom_site_fract_z
_atom_site_occupancy
Tm1 0.244 0.250 0.060 1
Tm2 0.256 0.750 0.560 1
Tm3 0.744 0.250 0.440 1
Tm4 0.756 0.750 0.940 1
Ni1 0.060 0.750 0.092 1
Ni2 0.067 0.006 0.309 1
Ni3 0.067 0.494 0.309 1
Ni4 0.100 0.250 0.521 1
Ni5 0.182 0.250 0.758 1
Ni6 0.318 0.750 0.258 1
Ni7 0.400 0.750 0.021 1
Ni8 0.433 0.506 0.809 1
Ni9 0.433 0.994 0.809 1
Ni10 0.440 0.250 0.592 1
Ni11 0.560 0.750 0.408 1
Ni12 0.567 0.006 0.191 1
Ni13 0.567 0.494 0.191 1
Ni14 0.600 0.250 0.979 1
Ni15 0.682 0.250 0.742 1
Ni16 0.818 0.750 0.242 1
Ni17 0.900 0.750 0.479 1
Ni18 0.933 0.506 0.691 1
Ni19 0.933 0.994 0.691 1
Ni20 0.940 0.250 0.908 1
Ir1 0.147 0.750 0.852 1
Ir2 0.353 0.250 0.352 1
Ir3 0.647 0.750 0.648 1
Ir4 0.853 0.250 0.148 1
```

2.
The following is a GGA-PBE calculation of a geometry-optimized DyGa2Ag6 structure, from Alexandria via LeMat-Bulk.

## Properties
E above lowest polymorph   163 meV/atom
Energy relative to the elements   -0.01 eV/atom

Cell and atoms, written as CIF:
```
data_DyGa2Ag6
_chemical_formula_sum 'Dy1 Ga2 Ag6'
_space_group_name_H-M_alt 'P 1'
_space_group_IT_number 1
_cell_length_a 8.032
_cell_length_b 8.032
_cell_length_c 3.234
_cell_angle_alpha 101.44
_cell_angle_beta 101.44
_cell_angle_gamma 62.38
loop_
_space_group_symop_operation_xyz
'x,y,z'
loop_
_atom_site_label
_atom_site_fract_x
_atom_site_fract_y
_atom_site_fract_z
_atom_site_occupancy
Dy1 0.000 0.000 0.000 1
Ga1 0.354 0.354 0.866 1
Ga2 0.646 0.646 0.134 1
Ag1 0.010 0.346 0.680 1
Ag2 0.333 0.667 0.500 1
Ag3 0.346 0.010 0.680 1
Ag4 0.654 0.990 0.320 1
Ag5 0.667 0.333 0.500 1
Ag6 0.990 0.654 0.320 1
```

3.
The following is a GGA-PBE calculation of a geometry-optimized SrLi3Pd structure, from Alexandria via LeMat-Bulk.

## Properties
E above lowest polymorph   86 meV/atom
Energy relative to the elements   -0.16 eV/atom

Cell and atoms, written as CIF:
```
data_SrLi3Pd
_chemical_formula_sum 'Sr1 Li3 Pd1'
_space_group_name_H-M_alt 'P 1'
_space_group_IT_number 1
_cell_length_a 4.942
_cell_length_b 4.942
_cell_length_c 4.942
_cell_angle_alpha 90.00
_cell_angle_beta 90.00
_cell_angle_gamma 90.00
loop_
_space_group_symop_operation_xyz
'x,y,z'
loop_
_atom_site_label
_atom_site_fract_x
_atom_site_fract_y
_atom_site_fract_z
_atom_site_occupancy
Sr1 0.000 0.000 0.000 1
Li1 0.000 0.500 0.500 1
Li2 0.500 0.000 0.500 1
Li3 0.500 0.500 0.000 1
Pd1 0.500 0.500 0.500 1
```

4.
The following is a GGA-PBE calculation of a geometry-optimized CsNaCl3 structure, from Alexandria via LeMat-Bulk.

Cell and atoms, written as CIF:
```
data_CsNaCl3
_chemical_formula_sum 'Cs1 Na1 Cl3'
_space_group_name_H-M_alt 'P 1'
_space_group_IT_number 1
_cell_length_a 5.385
_cell_length_b 5.385
_cell_length_c 5.385
_cell_angle_alpha 90.00
_cell_angle_beta 90.00
_cell_angle_gamma 90.00
loop_
_space_group_symop_operation_xyz
'x,y,z'
loop_
_atom_site_label
_atom_site_fract_x
_atom_site_fract_y
_atom_site_fract_z
_atom_site_occupancy
Cs1 0.000 0.000 0.000 1
Na1 0.500 0.500 0.500 1
Cl1 0.000 0.500 0.500 1
Cl2 0.500 0.000 0.500 1
Cl3 0.500 0.500 0.000 1
```

5.
The following is a GGA-PBE calculation of a geometry-optimized In3CoSi structure, from Alexandria via LeMat-Bulk.

## Properties
E above lowest polymorph   0 meV/atom

Cell and atoms, written as CIF:
```
data_In3CoSi
_chemical_formula_sum 'In3 Co1 Si1'
_space_group_name_H-M_alt 'P 1'
_space_group_IT_number 1
_cell_length_a 4.904
_cell_length_b 4.904
_cell_length_c 4.904
_cell_angle_alpha 90.00
_cell_angle_beta 90.00
_cell_angle_gamma 90.00
loop_
_space_group_symop_operation_xyz
'x,y,z'
loop_
_atom_site_label
_atom_site_fract_x
_atom_site_fract_y
_atom_site_fract_z
_atom_site_occupancy
In1 0.000 0.000 0.500 1
In2 0.000 0.500 0.000 1
In3 0.500 0.000 0.000 1
Co1 0.000 0.000 0.000 1
Si1 0.500 0.500 0.500 1
```

6.
The following is a GGA-PBE calculation of a geometry-optimized Ti6CoPd structure, from Alexandria via LeMat-Bulk.

## Properties
Energy relative to the elements   0.02 eV/atom

Cell and atoms, written as CIF:
```
data_Ti6CoPd
_chemical_formula_sum 'Ti6 Co1 Pd1'
_space_group_name_H-M_alt 'P 1'
_space_group_IT_number 1
_cell_length_a 5.399
_cell_length_b 5.399
_cell_length_c 5.459
_cell_angle_alpha 106.02
_cell_angle_beta 106.02
_cell_angle_gamma 111.08
loop_
_space_group_symop_operation_xyz
'x,y,z'
loop_
_atom_site_label
_atom_site_fract_x
_atom_site_fract_y
_atom_site_fract_z
_atom_site_occupancy
Ti1 0.033 0.477 0.746 1
Ti2 0.037 0.037 0.269 1
Ti3 0.477 0.033 0.746 1
Ti4 0.523 0.967 0.254 1
Ti5 0.963 0.963 0.731 1
Ti6 0.967 0.523 0.254 1
Co1 0.500 0.500 0.000 1
Pd1 0.500 0.500 0.500 1
```

7.
The following is a GGA-PBE calculation of a geometry-optimized Dy2ThSc4 structure, from Alexandria via LeMat-Bulk.

## Properties
E above lowest polymorph   0 meV/atom
Energy relative to the elements   0.11 eV/atom

Cell and atoms, written as CIF:
```
data_Dy2ThSc4
_chemical_formula_sum 'Dy2 Th1 Sc4'
_space_group_name_H-M_alt 'P 1'
_space_group_IT_number 1
_cell_length_a 5.566
_cell_length_b 6.186
_cell_length_c 6.200
_cell_angle_alpha 94.90
_cell_angle_beta 92.27
_cell_angle_gamma 113.71
loop_
_space_group_symop_operation_xyz
'x,y,z'
loop_
_atom_site_label
_atom_site_fract_x
_atom_site_fract_y
_atom_site_fract_z
_atom_site_occupancy
Dy1 0.000 0.000 0.000 1
Dy2 0.256 0.360 0.609 1
Th1 0.655 0.223 0.291 1
Sc1 0.351 0.610 0.142 1
Sc2 0.433 0.915 0.717 1
Sc3 0.811 0.453 0.839 1
Sc4 0.870 0.791 0.465 1
```

8.
The following is a GGA-PBE calculation of a geometry-optimized SmGaSnPt3 structure, from Alexandria via LeMat-Bulk.

## Properties
Energy relative to the elements   -0.67 eV/atom

Cell and atoms, written as CIF:
```
data_SmGaSnPt3
_chemical_formula_sum 'Sm2 Ga2 Sn2 Pt6'
_space_group_name_H-M_alt 'P 1'
_space_group_IT_number 1
_cell_length_a 8.950
_cell_length_b 8.950
_cell_length_c 5.685
_cell_angle_alpha 90.00
_cell_angle_beta 90.00
_cell_angle_gamma 143.27
loop_
_space_group_symop_operation_xyz
'x,y,z'
loop_
_atom_site_label
_atom_site_fract_x
_atom_site_fract_y
_atom_site_fract_z
_atom_site_occupancy
Sm1 0.198 0.802 0.750 1
Sm2 0.802 0.198 0.250 1
Ga1 0.406 0.594 0.250 1
Ga2 0.594 0.406 0.750 1
Sn1 0.103 0.897 0.250 1
Sn2 0.897 0.103 0.750 1
Pt1 0.254 0.254 0.000 1
Pt2 0.254 0.254 0.500 1
Pt3 0.259 0.741 0.250 1
Pt4 0.741 0.259 0.750 1
Pt5 0.746 0.746 0.000 1
Pt6 0.746 0.746 0.500 1
```

9.
The following is a GGA-PBE calculation of a geometry-optimized K2ZrCo structure, from Alexandria via LeMat-Bulk.

## Properties
E above lowest polymorph   743 meV/atom
Energy relative to the elements   1.14 eV/atom

Cell and atoms, written as CIF:
```
data_K2ZrCo
_chemical_formula_sum 'K2 Zr1 Co1'
_space_group_name_H-M_alt 'P 1'
_space_group_IT_number 1
_cell_length_a 3.024
_cell_length_b 3.024
_cell_length_c 12.138
_cell_angle_alpha 90.00
_cell_angle_beta 90.00
_cell_angle_gamma 90.00
loop_
_space_group_symop_operation_xyz
'x,y,z'
loop_
_atom_site_label
_atom_site_fract_x
_atom_site_fract_y
_atom_site_fract_z
_atom_site_occupancy
K1 0.000 0.000 0.212 1
K2 0.000 0.000 0.788 1
Zr1 0.500 0.500 0.500 1
Co1 0.500 0.500 0.000 1
```

10.
The following is a GGA-PBE calculation of a geometry-optimized YBeCu2Pd structure, from Alexandria via LeMat-Bulk.

## Properties
Energy relative to the elements   -0.24 eV/atom

Cell and atoms, written as CIF:
```
data_YBeCu2Pd
_chemical_formula_sum 'Y1 Be1 Cu2 Pd1'
_space_group_name_H-M_alt 'P 1'
_space_group_IT_number 1
_cell_length_a 4.239
_cell_length_b 4.239
_cell_length_c 4.429
_cell_angle_alpha 90.00
_cell_angle_beta 90.00
_cell_angle_gamma 90.00
loop_
_space_group_symop_operation_xyz
'x,y,z'
loop_
_atom_site_label
_atom_site_fract_x
_atom_site_fract_y
_atom_site_fract_z
_atom_site_occupancy
Y1 0.000 0.000 0.000 1
Be1 0.500 0.500 0.500 1
Cu1 0.000 0.500 0.500 1
Cu2 0.500 0.000 0.500 1
Pd1 0.500 0.500 0.000 1
```

11.
The following is a GGA-PBE calculation of a geometry-optimized Zn6Pt2Rh structure, from Alexandria via LeMat-Bulk.

## Properties
E above lowest polymorph   120 meV/atom
Energy relative to the elements   -0.28 eV/atom

Cell and atoms, written as CIF:
```
data_Zn6Pt2Rh
_chemical_formula_sum 'Zn6 Pt2 Rh1'
_space_group_name_H-M_alt 'P 1'
_space_group_IT_number 1
_cell_length_a 7.285
_cell_length_b 7.285
_cell_length_c 4.184
_cell_angle_alpha 105.79
_cell_angle_beta 105.79
_cell_angle_gamma 48.04
loop_
_space_group_symop_operation_xyz
'x,y,z'
loop_
_atom_site_label
_atom_site_fract_x
_atom_site_fract_y
_atom_site_fract_z
_atom_site_occupancy
Zn1 0.078 0.591 0.335 1
Zn2 0.246 0.754 0.000 1
Zn3 0.409 0.922 0.665 1
Zn4 0.591 0.078 0.335 1
Zn5 0.754 0.246 0.000 1
Zn6 0.922 0.409 0.665 1
Pt1 0.334 0.334 0.834 1
Pt2 0.666 0.666 0.166 1
Rh1 0.000 0.000 0.500 1
```

12.
The following is a GGA-PBE calculation of a geometry-optimized KLi3Se4O12 structure, from Alexandria via LeMat-Bulk.

Cell and atoms, written as CIF:
```
data_KLi3Se4O12
_chemical_formula_sum 'K1 Li3 Se4 O12'
_space_group_name_H-M_alt 'P 1'
_space_group_IT_number 1
_cell_length_a 7.065
_cell_length_b 7.065
_cell_length_c 7.065
_cell_angle_alpha 105.41
_cell_angle_beta 105.41
_cell_angle_gamma 105.41
loop_
_space_group_symop_operation_xyz
'x,y,z'
loop_
_atom_site_label
_atom_site_fract_x
_atom_site_fract_y
_atom_site_fract_z
_atom_site_occupancy
K1 0.000 0.000 0.000 1
Li1 0.000 0.554 0.446 1
Li2 0.446 0.000 0.554 1
Li3 0.554 0.446 0.000 1
Se1 0.047 0.500 0.953 1
Se2 0.500 0.500 0.500 1
Se3 0.500 0.953 0.047 1
Se4 0.953 0.047 0.500 1
O1 0.023 0.624 0.773 1
O2 0.107 0.893 0.500 1
O3 0.227 0.376 0.977 1
O4 0.347 0.653 0.500 1
O5 0.376 0.977 0.227 1
O6 0.500 0.107 0.893 1
O7 0.500 0.347 0.653 1
O8 0.624 0.773 0.023 1
O9 0.653 0.500 0.347 1
O10 0.773 0.023 0.624 1
O11 0.893 0.500 0.107 1
O12 0.977 0.227 0.376 1
```

Asked for electronic total energy across the records above, the calculation gives -6.31; -3.10; -2.68; -2.88; -3.70; -7.44; -5.88; -5.65; -3.32; -4.95; -3.28; -4.81 eV/atom in order.